# 1
{
  "formula": "BaZnCuPb2",
  "functional": "PBE",
  "state": "relaxed",
  "formation_energy_ev_per_atom": 1.24,
  "final_energy_ev_per_atom": -1.707,
  "vol_a3_per_atom": 50.67,
  "lattice": [[-3.6965, -5.2475, -0.9839], [3.9122, -1.9862, -4.1046], [3.2597, -3.1660, 4.6389]],
  "species": ["Cu", "Zn", "Pb", "Pb", "Ba"],
  "frac_coords": [[0.5000, 0.5000, 0.5000], [0.0000, 0.5000, 0.0000], [0.5000, 0.0000, 0.0000], [0.0000, 0.0000, 0.5000], [0.0000, 0.0000, 0.0000]]
}

# 2
{
  "formula": "BaZnCu2Pb",
  "functional": "PBE",
  "state": "relaxed",
  "formation_energy_ev_per_atom": 1.07,
  "final_energy_ev_per_atom": -1.945,
  "vol_a3_per_atom": 36.21,
  "lattice": [[5.5436, 0.0000, 0.0000], [0.0000, 5.8913, 0.0000], [0.0000, 0.0000, 5.5436]],
  "species": ["Zn", "Pb", "Ba", "Cu", "Cu"],
  "frac_coords": [[0.0000, 0.5000, 0.0000], [0.5000, 0.5000, 0.5000], [0.0000, 0.0000, 0.0000], [0.0000, 0.0000, 0.5000], [0.5000, 0.0000, 0.0000]]
}

# 3
{
  "formula": "Ba2Cu3Pd",
  "functional": "PBE",
  "state": "relaxed",
  "formation_energy_ev_per_atom": -0.18,
  "final_energy_ev_per_atom": -3.731,
  "vol_a3_per_atom": 25.61,
  "lattice": [[6.0036, 0.7676, -1.8549], [-1.2288, 5.9264, -1.8549], [-0.5559, -0.7794, 8.8452]],
  "species": ["Cu", "Cu", "Cu", "Cu", "Cu", "Cu", "Ba", "Ba", "Ba", "Ba", "Pd", "Pd"],
  "frac_coords": [[0.8372, 0.3263, 0.1635], [0.1628, 0.6737, 0.8365], [0.3263, 0.8372, 0.1635], [0.6737, 0.1628, 0.8365], [0.1639, 0.1639, 0.3278], [0.8361, 0.8361, 0.6722], [0.2535, 0.2535, 0.0000], [0.7465, 0.7465, 0.0000], [0.7500, 0.2500, 0.5000], [0.2500, 0.7500, 0.5000], [0.6660, 0.6660, 0.3320], [0.3340, 0.3340, 0.6680]]
}

# 4
{
  "formula": "Ba2CuPd2",
  "functional": "PBE",
  "state": "relaxed",
  "formation_energy_ev_per_atom": -0.24,
  "polymorph_energy_ev_per_fu": 0.77,
  "final_energy_ev_per_atom": -3.905,
  "vol_a3_per_atom": 27.57,
  "lattice": [[-1.3420, 5.7935, 5.0548], [4.5148, -3.5597, 5.2785], [3.6088, 2.2218, -1.5884]],
  "species": ["Pd", "Pd", "Pd", "Pd", "Ba", "Ba", "Ba", "Ba", "Cu", "Cu"],
  "frac_coords": [[0.8728, 0.6272, 0.0000], [0.1272, 0.3728, 0.0000], [0.3728, 0.8728, 0.0000], [0.6272, 0.1272, 0.0000], [0.6784, 0.8216, 0.5000], [0.1784, 0.6784, 0.5000], [0.8216, 0.3216, 0.5000], [0.3216, 0.1784, 0.5000], [0.0000, 0.0000, 0.0000], [0.5000, 0.5000, 0.0000]]
}